[1]
Below is a crystal of CaFe2Ru relaxed with PBEsol, with properties calculated at the meta-GGA SCAN level.

Results
Symmetry: Pmmm
Crystal system: orthorhombic
DOS at the Fermi energy in states/eV per atom: 1.0290
Formation energy in eV/atom: 0.57
Energy in eV per atom: -19.612

a b c (Å): 3.0441 4.3735 4.4147
angles (deg): 90.00 90.00 90.00
Closest atoms and distances in Å follow each position.
Fractional positions:
Ca  0.0000  0.0000  0.0000  4 Ru 2.66, 4 Fe 2.68
Fe  0.0000  0.5000  0.5000  4 Fe 2.66, 4 Ru 2.68
Fe  0.5000  0.0000  0.5000  4 Fe 2.66, 4 Ca 2.68
Ru  0.5000  0.5000  0.0000  4 Ca 2.66, 4 Fe 2.68

[2]
Below is a crystal of CaFeS3 relaxed with PBEsol, with properties calculated at the meta-GGA SCAN level.

Results
Symmetry: Pm-3m
Crystal system: cubic
DOS at the Fermi energy in states/eV per atom: 0.5664
E_form (uncorrected) in eV per atom: -0.8339
Energy in eV per atom: -12.169

a b c (Å): 4.5223 4.5223 4.5223
angles (deg): 90.00 90.00 90.00
Closest atoms and distances in Å follow each position.
Fractional positions:
Ca  0.0000  0.0000  0.0000  12 S 3.20
Fe  0.5000  0.5000  0.5000  6 S 2.26
S  0.0000  0.5000  0.5000  2 Fe 2.26
S  0.5000  0.0000  0.5000  2 Fe 2.26
S  0.5000  0.5000  0.0000  2 Fe 2.26

[3]
Below is a crystal of CaTiFeS2 relaxed with PBEsol, with properties calculated at the meta-GGA SCAN level.

Results
Symmetry: P4/mmm
Crystal system: tetragonal
DOS at the Fermi energy in states/eV per atom: 0.5496
E_form (uncorrected) in eV per atom: 0.1261
Energy in eV per atom: -12.490

a b c (Å): 4.5219 4.5219 4.3841
angles (deg): 90.00 90.00 90.00
Closest atoms and distances in Å follow each position.
Fractional positions:
Ca  0.0000  0.0000  0.0000  2 Fe 2.19
Ti  0.5000  0.5000  0.0000  8 S 3.15, 4 Ca 3.20
Fe  0.0000  0.0000  0.5000  2 Ca 2.19, 4 S 2.26
S  0.0000  0.5000  0.5000  2 Fe 2.26
S  0.5000  0.0000  0.5000  2 Fe 2.26

[4]
Below is a crystal of CaFeSb2 relaxed with PBEsol, with properties calculated at the meta-GGA SCAN level.

Results
Symmetry: P4mm
Crystal system: tetragonal
DOS at the Fermi energy in states/eV per atom: 0.5318
E_form (uncorrected) in eV per atom: -0.0518
Energy in eV per atom: -25.630

a b c (Å): 3.5714 3.5714 7.0635
angles (deg): 90.00 90.00 90.00
Closest atoms and distances in Å follow each position.
Fractional positions:
Ca  0.0000  0.0000  0.0000  5 Sb 3.07-3.21
Fe  0.5000  0.5000  0.3368  5 Sb 2.62-2.71
Sb  0.0000  0.0000  0.4352  4 Fe 2.62
Sb  0.5000  0.5000  0.7198  1 Fe 2.71

Listing volume for the structures above in their given order: 14.69, 18.50, 17.93, 22.52 Å³ per atom.